No. 1
5
Lattice="-4.4868 2.3283 1.8399 -1.9688 -4.8311 1.3122 2.2203 0.4211 4.8817" Properties=species:S:1:pos:R:3 comment="TiBi3B PBE relaxed" final_energy_ev_per_atom=-4.12 e_form_ev_per_atom=1.1207 polymorph_energy_mev_per_atom=169.8 dos_ef_per_ev_atom=0.809 mass_density_g_cm3=7.31 pbc="T T T"
B -2.1177 -1.0409 4.0169
Bi -0.9844 -2.4155 0.6561
Bi 1.1101 0.2105 2.4408
Bi -2.2434 1.1641 0.9199
Ti 0.0000 0.0000 0.0000

No. 2
16
Lattice="4.1477 0.0000 0.0000 -2.0738 7.4164 0.0000 0.0000 0.0000 11.4586" Properties=species:S:1:pos:R:3 comment="Ti5Bi2B PBE relaxed" final_energy_ev_per_atom=-6.55 e_form_ev_per_atom=0.1886 dos_ef_per_ev_atom=1.090 mass_density_g_cm3=6.29 pbc="T T T"
Ti 2.0738 5.4181 9.9430
Ti 2.0738 5.4181 7.2450
Ti 0.0000 4.5079 5.1183
Ti 0.0000 4.5079 0.6110
Ti 2.0738 3.7185 2.8647
Ti 0.0000 3.6979 8.5940
Ti 2.0738 2.9086 6.3404
Ti 2.0738 2.9086 10.8476
Ti 0.0000 1.9983 1.5157
Ti 0.0000 1.9983 4.2137
Bi 2.0738 6.4224 4.4101
Bi 2.0738 6.4224 1.3192
Bi 0.0000 0.9940 7.0486
Bi 0.0000 0.9940 10.1394
B 2.0738 3.7223 8.5940
B 0.0000 3.6941 2.8647

No. 3
8
Lattice="-1.0473 -1.3573 -6.8103 -2.9188 -6.1633 1.6773 -5.3426 -2.1178 -2.3772" Properties=species:S:1:pos:R:3 comment="TiBi2B PBE relaxed" final_energy_ev_per_atom=-4.81 e_form_ev_per_atom=0.7779 dos_ef_per_ev_atom=1.575 mass_density_g_cm3=8.57 pbc="T T T"
B -1.9831 -3.7603 -2.5665
B -5.1223 -6.0207 -1.6332
Bi -2.2896 -2.0633 -4.2150
Bi -3.3564 -4.6361 -0.8233
Bi -5.6769 -4.7941 -3.6028
Bi -7.2948 -7.7833 -6.3792
Ti 0.0000 0.0000 0.0000
Ti -4.1865 -3.6177 -5.8770

No. 4
12
Lattice="-3.5247 -2.5196 -2.0757 9.5354 -1.0874 -0.4909 -0.1634 -3.4466 4.4610" Properties=species:S:1:pos:R:3 comment="Ti4BiB PBE relaxed" final_energy_ev_per_atom=-7.29 e_form_ev_per_atom=-0.2708 dos_ef_per_ev_atom=1.133 mass_density_g_cm3=6.88 pbc="T T T"
Ti 4.7419 -4.6370 1.9385
Ti 1.1054 -2.4166 -0.0441
Ti -0.3332 -3.0621 2.9694
Ti 6.1806 -3.9915 -1.0750
Ti 7.0585 -1.1354 -0.5928
Ti -1.1307 -4.2199 0.2891
Ti 6.9780 -2.8337 1.6053
Ti -1.2112 -5.9182 2.4872
Bi 1.6294 -4.7007 1.7753
Bi 4.2179 -2.3529 0.1191
B 6.9941 -5.1495 1.6250
B -1.1467 -1.9040 0.2694